A plane-wave DFT calculation with PBE-GGA was carried out for ZrSbIr2 after structural relaxation.

Lattice parameters (Å, degrees): 3.5348 4.0526 5.5559 90.00 108.34 90.00
Last column: nearest neighbours and their distance in Å.
Space group Pm (No. 6)
Unique sites:
Zr: 0.0000 0.0000 0.0000  7 Ir 2.73-2.99
Sb: 0.2943 0.5000 0.5887  5 Ir 2.67-2.78
Ir: 0.5459 0.5000 0.0944  1 Sb 2.67, 4 Zr 2.73-2.74, 2 Ir 2.78
Ir: 0.7284 0.0000 0.4547  2 Ir 2.78, 4 Sb 2.78, 3 Zr 2.88-2.99

## Properties
The total energy is -31.921 eV/cell. Its energy relative to the elements, uncorrected is -36.9 kJ per mole of atoms.